! Ac6Os2N PBE-GGA relaxed; values from VASP
&SYSTEM
  ibrav = 0, nat = 18, ntyp = 3
/
ATOMIC_SPECIES
Ac 227.00 Ac.upf
Os 190.23 Os.upf
N 14.01 N.upf
CELL_PARAMETERS angstrom
-3.503 5.954 -0.959
-3.139 -2.896 -6.508
-8.077 -3.475 5.442
ATOMIC_POSITIONS angstrom
Ac -9.278 -3.085 2.762
Ac -5.440 2.668 -4.788
Ac -3.526 3.210 -1.465
Ac -9.789 -0.138 0.595
Ac -11.974 -0.197 -2.980
Os -7.903 -0.136 2.893
Ac -2.744 -0.220 0.954
Os -8.194 -4.157 0.167
Ac -8.508 1.454 -2.935
N -3.321 1.529 -3.734
Ac -6.480 2.101 0.621
Ac -4.930 -0.279 -2.620
Ac -11.193 -3.628 -0.561
Os -6.816 -0.281 -4.919
Ac -8.238 -2.518 -2.647
Os -6.525 3.739 -2.193
N -4.038 -1.738 2.721
Ac -6.211 -1.872 0.910
! Formation energy from raw total energies = -0.263 eV/atom
! Total moment = 0.000 μB/atom
! Density of states at the Fermi level = 0.7283 states/eV/atom



! As2AuSeO PBE-GGA relaxed; values from VASP
&SYSTEM
  ibrav = 0, nat = 5, ntyp = 4
/
ATOMIC_SPECIES
As 74.92 As.upf
Au 196.97 Au.upf
Se 78.96 Se.upf
O 16.00 O.upf
CELL_PARAMETERS angstrom
-2.462 -1.984 -2.977
3.169 0.468 -2.933
1.809 -4.178 1.288
ATOMIC_POSITIONS angstrom
As 1.584 0.234 -1.466
Au 1.258 -2.847 -2.311
Se 0.904 -2.089 0.644
As -1.231 -0.992 -1.488
O 0.000 0.000 0.000
! Energy relative to the lowest polymorph listed for this composition = 0.00 eV/f.u.
! Formation energy from raw total energies = 0.441 eV/atom
! Total moment = 0.000 μB/atom
! Density of states at the Fermi level = 0.4884 states/eV/atom



! Tb2Sm6Ho3Mg PBE-GGA relaxed; values from VASP
&SYSTEM
  ibrav = 0, nat = 12, ntyp = 4
/
ATOMIC_SPECIES
Sm 150.36 Sm.upf
Tb 158.93 Tb.upf
Mg 24.30 Mg.upf
Ho 164.93 Ho.upf
CELL_PARAMETERS angstrom
-1.978 3.515 4.686
5.000 -3.567 0.705
5.688 8.680 -5.472
ATOMIC_POSITIONS angstrom
Sm 1.012 3.330 0.637
Tb 2.674 -1.207 2.032
Tb 0.348 1.154 3.359
Mg 0.000 0.000 0.000
Ho 6.684 1.950 -1.370
Sm 5.379 7.651 0.604
Sm 3.693 2.137 2.672
Ho 2.026 6.678 1.288
Ho 4.355 4.314 -0.041
Sm 5.017 6.491 -2.754
Sm 7.698 5.298 -0.719
Sm 3.331 0.977 -0.686
! Calculated total energy = -4.389 eV per atom
! Total moment = 0.000 μB/atom
! Density of states at the Fermi level = 1.0934 states/eV/atom